Crystalline NaCrN2F at its relaxed geometry, computed with PBE with a Hubbard U.

Unit cell a=3.6586 b=3.6586 c=4.2255 alpha=90.00 beta=90.00 gamma=90.00
Element x y z (fractional)
Cr (0.0000, 0.0000, 0.0000)
N (0.0000, 0.5000, 0.0000)
N (0.5000, 0.0000, 0.0000)
F (0.0000, 0.0000, 0.5000)
Na (0.5000, 0.5000, 0.5000)

Output
The calculation puts the final energy at -5.644 eV/atom. The space group is P4/mmm, No. 123. As for the crystal system: tetragonal. As for the density of states at the Fermi level: 2.02 states/eV per cell. The calculation puts the spin magnetization at 0.2 μB/f.u.